# 1
Compound: TbPa4O10
Source: Alexandria
Functional: PBE
Structure: optimized geometry

Results
uncorrected energy	-9.775	eV per atom
V	202.9	Å³/cell
space-group type	R-3m (166)
crystal system	trigonal
raw formation energy	-5251	kJ/mol of formula units
DOS(E_F)	11.01	states/eV/cell
ρ	10.176	Mg/m³

Geometry as extended XYZ:
```
15
Lattice="1.935 1.117 15.645 -1.935 1.117 15.645 0.000 -2.234 15.645" Properties=species:S:1:pos:R:3 pbc="T T T"
Tb 0.000 0.000 0.000
Pa 0.000 0.000 9.399
Pa 0.000 0.000 18.707
Pa 0.000 0.000 28.227
Pa 0.000 0.000 37.535
O 0.000 0.000 2.414
O 0.000 0.000 7.030
O 0.000 0.000 11.746
O 0.000 0.000 16.524
O 0.000 0.000 21.112
O 0.000 0.000 25.822
O 0.000 0.000 30.409
O 0.000 0.000 35.188
O 0.000 0.000 39.904
O 0.000 0.000 44.520
```


# 2
Compound: TbPaO4
Source: Alexandria
Functional: PBE
Structure: optimized geometry

Results
uncorrected energy	-9.384	eV per atom
V	157.8	Å³/cell
space-group type	I4_1/amd (141)
crystal system	tetragonal
raw formation energy	-2156	kJ/mol of formula units
DOS(E_F)	0.00	states/eV/cell
ρ	9.552	Mg/m³

Geometry as extended XYZ:
```
12
Lattice="-2.705 2.705 5.391 2.705 -2.705 5.391 2.705 2.705 -5.391" Properties=species:S:1:pos:R:3 pbc="T T T"
Tb 2.705 1.353 1.348
Tb 0.000 1.353 4.043
Pa 2.705 -1.353 4.043
Pa 0.000 4.058 1.348
O 1.290 0.000 0.000
O 4.121 0.000 0.000
O 1.353 2.643 -2.696
O 1.353 -0.063 2.696
O 1.290 2.705 0.000
O 1.415 0.000 5.391
O -1.353 2.768 2.696
O 1.353 2.768 2.696
```


# 3
Compound: TbPaO6
Source: Alexandria
Functional: PBE
Structure: optimized geometry

Results
uncorrected energy	-7.535	eV per atom
V	153.9	Å³/cell
space-group type	Fm-3m (225)
crystal system	cubic
raw formation energy	-1583	kJ/mol of formula units
DOS(E_F)	7.42	states/eV/cell
ρ	5.243	Mg/m³

Geometry as extended XYZ:
```
8
Lattice="0.000 4.254 4.254 4.254 0.000 4.254 4.254 4.254 0.000" Properties=species:S:1:pos:R:3 pbc="T T T"
Tb 0.000 0.000 0.000
Pa 4.254 4.254 4.254
O 4.254 4.254 2.246
O 4.254 2.246 4.254
O 6.261 4.254 4.254
O 2.246 4.254 4.254
O 4.254 6.261 4.254
O 4.254 4.254 6.261
```